1.
The following is a PBE calculation of crystalline PrGePt3 at its relaxed geometry, from the Alexandria database.

Properties
The value obtained for the energy above the most stable polymorph in this dataset is 311 meV per atom. The value obtained for the energy of formation from the pure elements is -0.59 eV per atom.

```
data_PrGePt3
_cell_length_a 5.764
_cell_length_b 6.971
_cell_length_c 5.253
_cell_angle_alpha 90.00
_cell_angle_beta 90.00
_cell_angle_gamma 90.00
_space_group_name_H-M_alt 'P b a m'
_space_group_IT_number 55
loop_
_space_group_symop_operation_xyz
'x,y,z'
'-x,-y,-z'
'-x,-y,z'
'x,y,-z'
'x+1/2,-y+1/2,-z'
'-x+1/2,y+1/2,z'
'-x+1/2,y+1/2,-z'
'x+1/2,-y+1/2,z'
loop_
_atom_site_label
_atom_site_type_symbol
_atom_site_fract_x
_atom_site_fract_y
_atom_site_fract_z
Pr1 Pr 0.000 0.000 0.000
Ge1 Ge 0.000 0.500 0.500
Pt1 Pt 0.000 0.500 0.000
Pt2 Pt 0.130 0.171 0.500
```

2.
The following is a PBE calculation of crystalline Pm5ScSb4 at its relaxed geometry, from the Alexandria database.

Properties
The raw formation energy comes out at -748 meV/atom.

```
data_Pm5ScSb4
_cell_length_a 18.871
_cell_length_b 4.326
_cell_length_c 8.493
_cell_angle_alpha 90.00
_cell_angle_beta 104.93
_cell_angle_gamma 90.00
_space_group_name_H-M_alt 'C 1 2/m 1'
_space_group_IT_number 12
loop_
_space_group_symop_operation_xyz
'x,y,z'
'-x,-y,-z'
'-x,y,-z'
'x,-y,z'
'x+1/2,y+1/2,z'
'-x+1/2,-y+1/2,-z'
'-x+1/2,y+1/2,-z'
'x+1/2,-y+1/2,z'
loop_
_atom_site_label
_atom_site_type_symbol
_atom_site_fract_x
_atom_site_fract_y
_atom_site_fract_z
Pm1 Pm 0.000 0.000 0.000
Pm2 Pm 0.167 0.500 0.323
Pm3 Pm 0.173 0.500 0.850
Sc1 Sc 0.000 0.000 0.500
Sb1 Sb 0.004 0.500 0.740
Sb2 Sb 0.163 0.000 0.583
```

3.
The following is a PBE calculation of crystalline LaAl10Pd2 at its relaxed geometry, from the Alexandria database.

Properties
The value obtained for the energy of formation from the pure elements is -0.43 eV per atom.

```
data_LaAl10Pd2
_cell_length_a 5.472
_cell_length_b 12.501
_cell_length_c 13.333
_cell_angle_alpha 90.00
_cell_angle_beta 90.00
_cell_angle_gamma 90.00
_space_group_name_H-M_alt 'F m m m'
_space_group_IT_number 69
_space_group_name_Hall '-F 2 2'
loop_
_atom_site_label
_atom_site_type_symbol
_atom_site_fract_x
_atom_site_fract_y
_atom_site_fract_z
La1 La 0.000 0.000 0.000
Al1 Al 0.000 0.110 0.384
Al2 Al 0.000 0.172 0.180
Al3 Al 0.250 0.250 0.000
Pd1 Pd 0.250 0.000 0.250
```

Number 1: total energy -61.0 eV for the cell shown. Number 2: total energy -108.1 eV for the cell shown. Number 3: total energy -233.1 eV for the cell shown.